Pr8Bi3SbTe4 | PBE-GGA | relaxed

Cell lengths 9.177, 9.150, 9.176 Å; angles 120.10, 120.00, 90.00 degrees
Positions (direct):
Pr 0.754 0.254 0.507
Pr 0.750 0.749 0.499
Pr 0.753 0.746 0.999
Pr 0.247 0.254 0.001
Pr 0.246 0.746 0.493
Pr 0.250 0.251 0.501
Pr 0.754 0.254 0.001
Pr 0.246 0.746 0.999
Sb 0.000 0.500 0.000
Te 0.500 0.000 0.000
Te 0.000 0.000 0.000
Te 0.000 0.000 0.500
Te 0.500 0.000 0.500
Bi 0.000 0.500 0.500
Bi 0.500 0.500 0.500
Bi 0.500 0.500 0.000

formation energy (no corrections) = -1.25 eV per atom

=====

Pr6Bi2Sb3Te | PBE-GGA | relaxed

Cell lengths 4.582, 9.174, 10.243 Å; angles 102.96, 102.92, 90.00 degrees
Positions (direct):
Bi 0.834 0.668 0.667
Bi 0.166 0.332 0.333
Sb 0.166 0.834 0.333
Sb 0.834 0.166 0.667
Sb 0.500 0.500 0.000
Te 0.500 0.000 0.000
Pr 0.001 0.745 0.003
Pr 0.332 0.920 0.664
Pr 0.665 0.586 0.331
Pr 0.668 0.080 0.336
Pr 0.999 0.255 0.997
Pr 0.335 0.414 0.669

formation energy (no corrections) = -1.18 eV per atom

=====

PrThBiSb | PBE-GGA | relaxed

Cell lengths 4.564, 4.564, 6.477 Å; angles 90.00, 90.00, 90.00 degrees
Positions (direct):
Th 0.000 0.000 0.500
Sb 0.500 0.500 0.500
Bi 0.000 0.000 0.000
Pr 0.500 0.500 0.000

formation energy (no corrections) = -0.92 eV per atom
polymorph energy (0 for the lowest one) = 0.000 eV/atom

=====

PrThBiSb | PBE-GGA | relaxed

Cell lengths 5.556, 5.556, 5.556 Å; angles 60.00, 60.00, 60.00 degrees
Positions (direct):
Bi 0.750 0.750 0.750
Th 0.500 0.500 0.500
Sb 0.250 0.250 0.250
Pr 0.000 0.000 0.000

formation energy (no corrections) = -0.72 eV per atom
polymorph energy (0 for the lowest one) = 0.206 eV/atom

=====

PrTmBiSb | PBE-GGA | relaxed

Cell lengths 4.496, 4.496, 7.772 Å; angles 73.19, 73.19, 60.00 degrees
Positions (direct):
Bi 0.939 0.939 0.182
Tm 0.192 0.192 0.424
Pr 0.696 0.696 0.912
Sb 0.449 0.449 0.653

formation energy (no corrections) = -0.99 eV per atom

=====

Pr2Tm3Bi2Sb2 | PBE-GGA | relaxed

Cell lengths 6.033, 6.033, 8.843 Å; angles 109.94, 109.94, 90.00 degrees
Positions (direct):
Tm 0.000 0.000 0.000
Tm 0.250 0.750 0.500
Tm 0.750 0.250 0.500
Bi 0.200 0.200 0.399
Bi 0.800 0.800 0.601
Sb 0.000 0.500 0.000
Sb 0.500 0.000 0.000
Pr 0.407 0.407 0.814
Pr 0.593 0.593 0.186

formation energy (no corrections) = -0.61 eV per atom

=====

PrSc2Bi | PBE-GGA | relaxed

Cell lengths 3.878, 3.878, 7.218 Å; angles 90.00, 90.00, 90.00 degrees
Positions (direct):
Sc 0.000 0.000 0.282
Sc 0.000 0.000 0.718
Bi 0.500 0.500 0.500
Pr 0.500 0.500 0.000

polymorph energy (0 for the lowest one) = 0.032 eV/atom
formation energy from the elements = -288 meV/atom

=====

PrScBi | PBE-GGA | relaxed

Cell lengths 3.981, 3.981, 6.225 Å; angles 108.65, 108.65, 90.00 degrees
Last column: magnetic moment on the atom in μB.
Positions (direct):
Sc 0.640 0.640 0.280  0.32
Bi 0.263 0.263 0.526  -0.02
Pr 0.947 0.947 0.894  0.21

formation energy from the elements = -428 meV/atom

=====

| no. | density (Mg/m³) | DOS at the Fermi energy (states/eV per atom) |
| --- | --- | --- |
| 1 | 7.28 | 0.488 |
| 2 | 7.14 | 0.181 |
| 3 | 8.66 | 0.446 |
| 4 | 9.63 | 1.088 |
| 5 | 8.29 | 0.181 |
| 6 | 8.54 | 0.745 |
| 7 | 6.73 | 1.270 |
| 8 | 7.45 | 0.769 |